Record 1
# CsTaAg2Te4 GGA-PBE optimized geometry
data_CsTaAg2Te4
_chemical_formula_sum 'Cs2 Ta2 Ag4 Te8'
_cell_length_a 6.904
_cell_length_b 9.311
_cell_length_c 9.946
_cell_angle_alpha 90.00
_cell_angle_beta 90.00
_cell_angle_gamma 90.00
_symmetry_space_group_name_H-M 'I 2 2 2'
_symmetry_Int_Tables_number 23
loop_
_symmetry_equiv_pos_as_xyz
'x,y,z'
'-x,-y,z'
'x,-y,-z'
'-x,y,-z'
'x+1/2,y+1/2,z+1/2'
'-x+1/2,-y+1/2,z+1/2'
'x+1/2,-y+1/2,-z+1/2'
'-x+1/2,y+1/2,-z+1/2'
loop_
_atom_site_label
_atom_site_type_symbol
_atom_site_fract_x
_atom_site_fract_y
_atom_site_fract_z
_atom_site_occupancy
Cs1 Cs 0.000 0.000 0.000 1
Ta1 Ta 0.000 0.000 0.500 1
Ag1 Ag 0.000 0.500 0.143 1
Te1 Te 0.195 0.178 0.342 1
# ΔE_f (raw), eV per atom: -0.3239
# Total magnetization, μB/cell: 0.000

Record 2
# SnMoIr3 GGA-PBE optimized geometry
data_SnMoIr3
_chemical_formula_sum 'Sn1 Mo1 Ir3'
_cell_length_a 4.759
_cell_length_b 4.759
_cell_length_c 4.759
_cell_angle_alpha 90.00
_cell_angle_beta 90.00
_cell_angle_gamma 90.00
_symmetry_space_group_name_H-M 'P m -3 m'
_symmetry_Int_Tables_number 221
_symmetry_space_group_name_Hall '-P 4 2 3'
loop_
_atom_site_label
_atom_site_type_symbol
_atom_site_fract_x
_atom_site_fract_y
_atom_site_fract_z
_atom_site_occupancy
Sn1 Sn 0.000 0.000 0.000 1
Mo1 Mo 0.500 0.500 0.500 1
Ir1 Ir 0.000 0.000 0.500 1
# Fermi-level density of states, states/eV/atom: 2.51
# Distance to the lowest polymorph of the same formula, eV per atom: 0.876
# Total magnetization, μB/cell: 0.001

Record 3
# Bi3Se3S GGA-PBE optimized geometry
data_Bi3Se3S
_chemical_formula_sum 'Bi6 Se6 S2'
_cell_length_a 9.735
_cell_length_b 6.214
_cell_length_c 9.737
_cell_angle_alpha 90.00
_cell_angle_beta 119.79
_cell_angle_gamma 90.00
_symmetry_space_group_name_H-M 'P 1 21/m 1'
_symmetry_Int_Tables_number 11
loop_
_symmetry_equiv_pos_as_xyz
'x,y,z'
'-x,-y,-z'
'-x,y+1/2,-z'
'x,-y+1/2,z'
loop_
_atom_site_label
_atom_site_type_symbol
_atom_site_fract_x
_atom_site_fract_y
_atom_site_fract_z
_atom_site_occupancy
Bi1 Bi 0.157 0.250 0.328 1
Bi2 Bi 0.328 0.750 0.671 1
Bi3 Bi 0.329 0.750 0.157 1
Se1 Se 0.167 0.750 0.333 1
Se2 Se 0.333 0.250 0.665 1
Se3 Se 0.334 0.250 0.167 1
S1 S 0.167 0.750 0.833 1
# ΔE_f (raw), eV per atom: -0.1716
# Fermi-level density of states, states/eV/atom: 0.18
# Distance to the lowest polymorph of the same formula, eV per atom: 0.110
# Total magnetization, μB/cell: 0.000

Record 4
# SiIrSeBr2 GGA-PBE optimized geometry
data_SiIrSeBr2
_chemical_formula_sum 'Si1 Ir1 Se1 Br2'
_cell_length_a 5.042
_cell_length_b 5.042
_cell_length_c 4.913
_cell_angle_alpha 90.00
_cell_angle_beta 90.00
_cell_angle_gamma 90.00
_symmetry_space_group_name_H-M 'P 4/m m m'
_symmetry_Int_Tables_number 123
_symmetry_space_group_name_Hall '-P 4 2'
loop_
_atom_site_label
_atom_site_type_symbol
_atom_site_fract_x
_atom_site_fract_y
_atom_site_fract_z
_atom_site_occupancy
Si1 Si 0.000 0.000 0.000 1
Ir1 Ir 0.500 0.500 0.500 1
Se1 Se 0.500 0.500 0.000 1
Br1 Br 0.000 0.500 0.500 1
# ΔE_f (raw), eV per atom: 0.6428
# Fermi-level density of states, states/eV/atom: 0.57
# Distance to the lowest polymorph of the same formula, eV per atom: 0.000
# Total magnetization, μB/cell: 0.000

Record 5
# PrHo2Pu GGA-PBE optimized geometry
data_PrHo2Pu
_chemical_formula_sum 'Pr3 Ho6 Pu3'
_cell_length_a 3.5509
_cell_length_b 3.5509
_cell_length_c 34.5543
_cell_angle_alpha 90.00
_cell_angle_beta 90.00
_cell_angle_gamma 120.00
_symmetry_space_group_name_H-M 'R 3 m'
_symmetry_Int_Tables_number 160
_symmetry_space_group_name_Hall 'R 3 -2"'
loop_
_atom_site_label
_atom_site_type_symbol
_atom_site_fract_x
_atom_site_fract_y
_atom_site_fract_z
_atom_site_occupancy
Pr1 Pr 0.0000 0.0000 0.0000 1
Ho1 Ho 0.0000 0.0000 0.2476 1
Ho2 Ho 0.0000 0.0000 0.4204 1
Pu1 Pu 0.0000 0.0000 0.8344 1
# Fermi-level density of states, states/eV/atom: 2.84
# Distance to the lowest polymorph of the same formula, eV per atom: 0.009
# Total magnetization, μB/cell: 18.425

Record 6
# Eu2HfH GGA-PBE optimized geometry
data_Eu2HfH
_chemical_formula_sum 'Eu6 Hf3 H3'
_cell_length_a 3.3268
_cell_length_b 3.3268
_cell_length_c 28.8002
_cell_angle_alpha 90.00
_cell_angle_beta 90.00
_cell_angle_gamma 120.00
_symmetry_space_group_name_H-M 'R -3 m'
_symmetry_Int_Tables_number 166
_symmetry_space_group_name_Hall '-R 3 2"'
loop_
_atom_site_label
_atom_site_type_symbol
_atom_site_fract_x
_atom_site_fract_y
_atom_site_fract_z
_atom_site_occupancy
Eu1 Eu 0.0000 0.0000 0.1112 1
Hf1 Hf 0.0000 0.0000 0.0000 1
H1 H 0.0000 0.0000 0.5000 1
# Fermi-level density of states, states/eV/atom: 1.15
# Uncorrected energy, eV/atom: -8.203
# Total magnetization, μB/cell: 46.943

Record 7
# MnPPd2Rh GGA-PBE optimized geometry
data_MnPPd2Rh
_chemical_formula_sum 'Mn1 P1 Pd2 Rh1'
_cell_length_a 4.471
_cell_length_b 4.471
_cell_length_c 4.371
_cell_angle_alpha 90.00
_cell_angle_beta 90.00
_cell_angle_gamma 90.00
_symmetry_space_group_name_H-M 'P 4/m m m'
_symmetry_Int_Tables_number 123
_symmetry_space_group_name_Hall '-P 4 2'
loop_
_atom_site_label
_atom_site_type_symbol
_atom_site_fract_x
_atom_site_fract_y
_atom_site_fract_z
_atom_site_occupancy
Mn1 Mn 0.000 0.000 0.000 1
P1 P 0.500 0.500 0.500 1
Pd1 Pd 0.000 0.500 0.500 1
Rh1 Rh 0.500 0.500 0.000 1
# Fermi-level density of states, states/eV/atom: 0.82
# Uncorrected energy, eV/atom: -6.499
# Total magnetization, μB/cell: 5.093

Record 8
# SrScBr2 GGA-PBE optimized geometry
data_SrScBr2
_chemical_formula_sum 'Sr2 Sc2 Br4'
_cell_length_a 9.510
_cell_length_b 3.785
_cell_length_c 7.127
_cell_angle_alpha 90.00
_cell_angle_beta 105.29
_cell_angle_gamma 90.00
_symmetry_space_group_name_H-M 'C 1 m 1'
_symmetry_Int_Tables_number 8
loop_
_symmetry_equiv_pos_as_xyz
'x,y,z'
'x,-y,z'
'x+1/2,y+1/2,z'
'x+1/2,-y+1/2,z'
loop_
_atom_site_label
_atom_site_type_symbol
_atom_site_fract_x
_atom_site_fract_y
_atom_site_fract_z
_atom_site_occupancy
Sr1 Sr 0.000 0.000 0.000 1
Sc1 Sc 0.224 0.500 0.406 1
Br1 Br 0.234 0.000 0.726 1
Br2 Br 0.426 0.000 0.355 1
# ΔE_f (raw), eV per atom: -0.9960
# Fermi-level density of states, states/eV/atom: 0.70
# Distance to the lowest polymorph of the same formula, eV per atom: 0.121
# Total magnetization, μB/cell: 1.912

Record 9
# MnBe3 GGA-PBE optimized geometry
data_MnBe3
_chemical_formula_sum 'Mn1 Be3'
_cell_length_a 2.3745
_cell_length_b 2.3745
_cell_length_c 7.4063
_cell_angle_alpha 90.00
_cell_angle_beta 90.00
_cell_angle_gamma 120.00
_symmetry_space_group_name_H-M 'P -6 m 2'
_symmetry_Int_Tables_number 187
_symmetry_space_group_name_Hall 'P -6 2'
loop_
_atom_site_label
_atom_site_type_symbol
_atom_site_fract_x
_atom_site_fract_y
_atom_site_fract_z
_atom_site_occupancy
Mn1 Mn 0.0000 0.0000 0.0000 1
Be1 Be 0.0000 0.0000 0.5000 1
Be2 Be 0.3333 0.6667 0.2570 1
# Fermi-level density of states, states/eV/atom: 0.46
# Uncorrected energy, eV/atom: -5.040
# Total magnetization, μB/cell: 0.498

Record 10
# SrRe2Pd GGA-PBE optimized geometry
data_SrRe2Pd
_chemical_formula_sum 'Sr4 Re8 Pd4'
_cell_length_a 4.686
_cell_length_b 4.686
_cell_length_c 18.640
_cell_angle_alpha 90.00
_cell_angle_beta 90.00
_cell_angle_gamma 90.00
_symmetry_space_group_name_H-M 'I -4 2 d'
_symmetry_Int_Tables_number 122
_symmetry_space_group_name_Hall 'I -4 2bw'
loop_
_atom_site_label
_atom_site_type_symbol
_atom_site_fract_x
_atom_site_fract_y
_atom_site_fract_z
_atom_site_occupancy
Sr1 Sr 0.000 0.000 0.000 1
Re1 Re 0.037 0.250 0.625 1
Pd1 Pd 0.000 0.000 0.500 1
# Fermi-level density of states, states/eV/atom: 0.88
# Distance to the lowest polymorph of the same formula, eV per atom: 0.000
# Total magnetization, μB/cell: 0.000

Record 11
# Pr9Al2In GGA-PBE optimized geometry
data_Pr9Al2In
_chemical_formula_sum 'Pr9 Al2 In1'
_cell_length_a 4.965
_cell_length_b 4.965
_cell_length_c 14.895
_cell_angle_alpha 90.00
_cell_angle_beta 90.00
_cell_angle_gamma 90.00
_symmetry_space_group_name_H-M 'P 4/m m m'
_symmetry_Int_Tables_number 123
_symmetry_space_group_name_Hall '-P 4 2'
loop_
_atom_site_label
_atom_site_type_symbol
_atom_site_fract_x
_atom_site_fract_y
_atom_site_fract_z
_atom_site_occupancy
Pr1 Pr 0.000 0.000 0.000 1
Pr2 Pr 0.000 0.000 0.336 1
Pr3 Pr 0.000 0.500 0.172 1
Pr4 Pr 0.000 0.500 0.500 1
Al1 Al 0.500 0.500 0.335 1
In1 In 0.500 0.500 0.000 1
# Fermi-level density of states, states/eV/atom: 1.54
# Uncorrected energy, eV/atom: -4.637
# Total magnetization, μB/cell: 0.000

Record 12
# Nd3SiN4 GGA-PBE optimized geometry
data_Nd3SiN4
_chemical_formula_sum 'Nd6 Si2 N8'
_cell_length_a 7.508
_cell_length_b 6.662
_cell_length_c 5.481
_cell_angle_alpha 90.00
_cell_angle_beta 90.00
_cell_angle_gamma 90.00
_symmetry_space_group_name_H-M 'P m n 21'
_symmetry_Int_Tables_number 31
loop_
_symmetry_equiv_pos_as_xyz
'x,y,z'
'-x+1/2,-y,z+1/2'
'-x,y,z'
'x+1/2,-y,z+1/2'
loop_
_atom_site_label
_atom_site_type_symbol
_atom_site_fract_x
_atom_site_fract_y
_atom_site_fract_z
_atom_site_occupancy
Nd1 Nd 0.000 0.147 0.000 1
Nd2 Nd 0.249 0.336 0.501 1
Si1 Si 0.000 0.831 0.472 1
N1 N 0.000 0.096 0.551 1
N2 N 0.000 0.827 0.148 1
N3 N 0.200 0.703 0.561 1
# ΔE_f (raw), eV per atom: -1.1267
# Fermi-level density of states, states/eV/atom: 0.23
# Total magnetization, μB/cell: 1.940